{
  "formula": "Li2DyCrO4",
  "functional": "PBE with a Hubbard U",
  "state": "optimized geometry",
  "cell": [[5.3148, 0.0000, 0.0000], [0.0000, 3.1942, 0.0000], [-1.8473, 0.0000, 5.1184]],
  "species": ["Li", "Li", "Dy", "Cr", "O", "O", "O", "O"],
  "fractional_positions": [[0.0000, 0.0000, 0.0000], [0.0000, 0.5000, 0.5000], [0.5000, 0.0000, 0.5000], [0.5000, 0.5000, 0.0000], [0.2641, 0.5000, 0.2342], [0.2714, 0.0000, 0.7808], [0.7286, 0.0000, 0.2192], [0.7359, 0.5000, 0.7658]],
  "space_group": "No. 10",
  "e_tot_ry_per_atom": -0.5036,
  "dos_ef_per_ev_atom": 0.0000
}